[1]
A plane-wave DFT calculation with GGA-PBE was carried out for a relaxed structure of GaCuHIr2.

Results
The value obtained for the volume is 58.4 Å³/cell. The calculation puts the total energy at -5.668 eV per atom. The density of states at the Fermi level is 3.9 states/eV per cell. Its crystal system is tetragonal. The value obtained for the total magnetic moment is 0.0 Bohr magnetons per cell.

Cell: 3.9944 3.9944 3.6588 Å, 90.00 90.00 90.00°
Positions (direct):
Ga: 0.0000 0.0000 0.0000
Cu: 0.5000 0.5000 0.0000
H: 0.5000 0.5000 0.5000
Ir: 0.0000 0.5000 0.5000
Ir: 0.5000 0.0000 0.5000

---

[2]
A plane-wave DFT calculation with GGA-PBE was carried out for a relaxed structure of ThAl5Au7.

Results
The value obtained for the volume is 236.9 Å³/cell. The calculation puts the total energy at -4.239 eV per atom. The formation energy is -0.464 eV per atom. The density of states at the Fermi level is 4.3 states/eV per cell. Its crystal system is orthorhombic. The value obtained for the total magnetic moment is 0.0 Bohr magnetons per cell.

Cell: 7.1063 7.1063 7.1063 Å, 134.19 97.18 100.25°
Positions (direct):
Th: 0.0000 0.0000 0.0000
Al: 0.0028 0.5009 0.0127
Al: 0.0028 0.9901 0.5019
Al: 0.4882 0.5009 0.4981
Al: 0.4882 0.9901 0.9873
Al: 0.7574 0.2574 0.5000
Au: 0.1713 0.4796 0.6916
Au: 0.2265 0.7265 0.5000
Au: 0.3347 0.3347 0.0000
Au: 0.3507 0.0136 0.3371
Au: 0.6766 0.0136 0.6629
Au: 0.6769 0.6769 0.0000
Au: 0.7880 0.4796 0.3084

---

[3]
A plane-wave DFT calculation with GGA-PBE was carried out for a relaxed structure of Mg4Zn.

Results
The value obtained for the volume is 127.2 Å³/cell. The calculation puts the total energy at -1.313 eV per atom. The formation energy is 0.217 eV per atom. The density of states at the Fermi level is 2.3 states/eV per cell. Its crystal system is cubic. The excess energy over the best structure of this formula in the dataset comes out at 5.60 kcal/mol of atoms. The value obtained for the total magnetic moment is 0.0 Bohr magnetons per cell.

Cell: 5.0287 5.0287 5.0287 Å, 90.00 90.00 90.00°
Positions (direct):
Mg: 0.0000 0.0000 0.0000
Mg: 0.0000 0.5000 0.5000
Mg: 0.5000 0.0000 0.5000
Mg: 0.5000 0.5000 0.0000
Zn: 0.5000 0.5000 0.5000

---

[4]
A plane-wave DFT calculation with GGA-PBE was carried out for a relaxed structure of NaMn2S4.

Results
The value obtained for the volume is 134.7 Å³/cell. The calculation puts the total energy at -5.896 eV per atom. The density of states at the Fermi level is 3.2 states/eV per cell. Its crystal system is monoclinic. The excess energy over the best structure of this formula in the dataset comes out at 0.00 kcal/mol of atoms. The energy relative to the elements, uncorrected is -729 meV per atom. The value obtained for the total magnetic moment is 5.0 Bohr magnetons per cell.

Cell: 5.7829 3.3861 6.8786 Å, 90.00 90.40 90.00°
Positions (direct):
Na: 0.0000 0.0000 0.0000
Mn: 0.0000 0.0000 0.5000
Mn: 0.5000 0.5000 0.5000
S: 0.1648 0.5000 0.3097
S: 0.3372 0.0000 0.6897
S: 0.6628 0.0000 0.3103
S: 0.8352 0.5000 0.6903

---

Number 4 is which compound?
NaMn2S4